VASP calculation (PBE) on TmCuSn2Rh4 after structural relaxation.

Cell lengths 7.9103, 7.9103, 7.9103 Å; angles 33.25, 33.25, 33.25 degrees
With the nearest neighbours (Å) after each atom.
Fractional coordinates of all 8 atoms:
Tm1 0.0000 0.0000 0.0000  8 Rh 2.82
Cu1 0.5000 0.5000 0.5000  8 Rh 2.67-2.77
Sn1 0.2460 0.2460 0.2460  7 Rh 2.68-2.76
Sn2 0.7540 0.7540 0.7540  7 Rh 2.68-2.76
Rh1 0.1261 0.1261 0.1261  4 Sn 2.68-2.75, 3 Cu 2.77, 1 Tm 2.82
Rh2 0.3809 0.3809 0.3809  1 Cu 2.67, 3 Sn 2.76, 3 Tm 2.82
Rh3 0.6191 0.6191 0.6191  1 Cu 2.67, 3 Sn 2.76, 3 Tm 2.82
Rh4 0.8739 0.8739 0.8739  4 Sn 2.68-2.75, 3 Cu 2.77, 1 Tm 2.82

## Properties
Fermi-level density of states in states/eV/f.u.: 4.3
Electronic total energy in eV per formula unit: -50.69